Entry 1:
Tl2BRhW at its PBEsol-relaxed geometry. Source: Alexandria, functional meta-GGA SCAN.

The space group is P4/mmm (No. 123) and the conventional cell measures 5.333, 5.333 and 4.585 Å, with angles of 90.00, 90.00 and 90.00 degrees. Symmetry generates all atoms from Tl at (0.000, 0.500, 0.000), B at (0.000, 0.000, 0.500), Rh at (0.500, 0.500, 0.500) and W at (0.500, 0.500, 0.000).

The value obtained for the formation energy is 1.921 eV per atom.

Entry 2:
TmB2Rh3 at its PBEsol-relaxed geometry. Source: Alexandria, functional meta-GGA SCAN.

The space group is P6/mmm (No. 191) and the conventional cell measures 5.3220, 5.3220 and 3.0982 Å, with angles of 90.00, 90.00 and 120.00 degrees. Symmetry generates all atoms from Tm at (0.0000, 0.0000, 0.0000), B at (0.3333, 0.6667, 0.0000) and Rh at (0.0000, 0.5000, 0.5000).

The value obtained for the formation energy is -0.844 eV per atom.

Entry 3:
Tm2B6Rh at its PBEsol-relaxed geometry. Source: Alexandria, functional meta-GGA SCAN.

The space group is Pbam (No. 55) and the conventional cell measures 9.047, 11.362 and 3.561 Å, with angles of 90.00, 90.00 and 90.00 degrees. Symmetry generates all atoms from Tm at (0.056, 0.126, 0.000), Tm at (0.178, 0.414, 0.000), B at (0.018, 0.287, 0.500), B at (0.053, 0.566, 0.500), B at (0.108, 0.971, 0.500), B at (0.133, 0.816, 0.500), B at (0.206, 0.236, 0.500), B at (0.250, 0.079, 0.500) and Rh at (0.140, 0.679, 0.000).

The value obtained for the formation energy is -0.769 eV per atom.